# 1
# PBE-GGA Y2IrI2, relaxed
# Polymorph energy (0 for the lowest one)   0.0 kJ/mol of atoms
# Formation energy from raw total energies   -1.066 eV per atom
data_Y2IrI2
_cell_length_a 4.145
_cell_length_b 4.146
_cell_length_c 11.870
_cell_angle_alpha 81.04
_cell_angle_beta 79.94
_cell_angle_gamma 60.01
_space_group_name_H-M_alt 'P 1'
_space_group_IT_number 1
_space_group_name_Hall 'P 1'
loop_
_atom_site_label
_atom_site_fract_x
_atom_site_fract_y
_atom_site_fract_z
Y1 0.714 0.200 0.371
Y2 0.286 0.800 0.629
Ir1 0.000 0.500 0.500
I1 0.448 0.914 0.190
I2 0.552 0.086 0.810


# 2
# PBE-GGA Sr2TiAgPd, relaxed
# ΔH_f (0 K)   0.51 eV/atom
data_Sr2TiAgPd
_cell_length_a 5.718
_cell_length_b 5.186
_cell_length_c 5.718
_cell_angle_alpha 90.00
_cell_angle_beta 90.00
_cell_angle_gamma 90.00
_space_group_name_H-M_alt 'P 1'
_space_group_IT_number 1
_space_group_name_Hall 'P 1'
loop_
_atom_site_label
_atom_site_fract_x
_atom_site_fract_y
_atom_site_fract_z
Sr1 0.000 0.000 0.500
Sr2 0.500 0.000 0.000
Pd1 0.000 0.000 0.000
Ag1 0.000 0.500 0.000
Ti1 0.500 0.500 0.500


# 3
# PBE-GGA CuNi4Rh2, relaxed
# Polymorph energy (0 for the lowest one)   0.9 kJ/mol of atoms
# ΔH_f (0 K)   0.25 eV/atom
data_CuNi4Rh2
_cell_length_a 2.580
_cell_length_b 8.434
_cell_length_c 8.308
_cell_angle_alpha 90.00
_cell_angle_beta 90.00
_cell_angle_gamma 98.80
_space_group_name_H-M_alt 'P 1'
_space_group_IT_number 1
_space_group_name_Hall 'P 1'
loop_
_atom_site_label
_atom_site_fract_x
_atom_site_fract_y
_atom_site_fract_z
Cu1 0.374 0.749 0.250
Cu2 0.626 0.251 0.750
Ni1 0.241 0.481 0.617
Ni2 0.759 0.519 0.383
Ni3 0.759 0.519 0.117
Ni4 0.241 0.481 0.883
Ni5 0.000 0.000 0.750
Ni6 0.000 0.000 0.250
Ni7 0.500 0.000 0.000
Ni8 0.500 0.000 0.500
Rh1 0.873 0.746 0.913
Rh2 0.127 0.254 0.087
Rh3 0.873 0.746 0.587
Rh4 0.127 0.254 0.413